## Pa2FeO7 (PBE+U)

Data for a geometry-optimized Pa2FeO7 structure.

Geometry as extended XYZ:
```
10
Lattice="3.356 -1.913 0.000 3.356 1.913 0.000 -1.756 0.000 9.886" Properties=species:S:1:pos:R:3 pbc="T T T"
Pa 0.022 0.000 2.100
Pa 4.934 0.000 7.785
Fe 2.478 0.000 4.943
O 0.000 0.000 0.000
O 0.086 0.000 4.482
O 0.462 0.000 8.192
O 2.267 0.000 2.960
O 2.689 0.000 6.926
O 4.494 0.000 1.694
O 4.870 0.000 5.404
```

Values from the calculation:
DFT total energy (eV per formula unit): -86.317
DOS at the Fermi energy (states/eV/atom): 0.01
Volume (Å³/cell): 126.9
Space-group type: C2/m (12)
Size of the total moment (μB per formula unit): 3.9